Record 1
A plane-wave DFT calculation with PBE-GGA was carried out for a relaxed structure of K3UCr2S6.

Summary:
Raw formation energy, eV per atom: -1.082

Cell and atoms, written as CIF:
```
data_K3UCr2S6
_symmetry_space_group_name_H-M 'C 1 2/m 1'
_symmetry_Int_Tables_number 12
_symmetry_space_group_name_Hall '-C 2y'
_cell_length_a 6.563
_cell_length_b 11.360
_cell_length_c 7.650
_cell_angle_alpha 90.00
_cell_angle_beta 106.67
_cell_angle_gamma 90.00
loop_
_atom_site_label
_atom_site_type_symbol
_atom_site_fract_x
_atom_site_fract_y
_atom_site_fract_z
K1 K 0.000 0.000 0.000
K2 K 0.000 0.336 0.000
U1 U 0.000 0.500 0.500
Cr1 Cr 0.000 0.167 0.500
S1 S 0.211 0.000 0.688
S2 S 0.239 0.324 0.689
```

---

Record 2
A plane-wave DFT calculation with PBE-GGA was carried out for a relaxed structure of Tb2PmHo4Sc.

Summary:
Formation enthalpy at 0 K, eV per formula unit: 3.51

Cell and atoms, written as CIF:
```
data_Tb2PmHo4Sc
_symmetry_space_group_name_H-M 'C 1 2/c 1'
_symmetry_Int_Tables_number 15
_symmetry_space_group_name_Hall '-C 2yc'
_cell_length_a 13.427
_cell_length_b 13.084
_cell_length_c 6.726
_cell_angle_alpha 90.00
_cell_angle_beta 120.03
_cell_angle_gamma 90.00
loop_
_atom_site_label
_atom_site_type_symbol
_atom_site_fract_x
_atom_site_fract_y
_atom_site_fract_z
Tb1 Tb 0.000 0.000 0.000
Tb2 Tb 0.250 0.250 0.000
Pm1 Pm 0.250 0.250 0.500
Ho1 Ho 0.000 0.261 0.501
Ho2 Ho 0.238 0.499 0.986
Sc1 Sc 0.000 0.500 0.000
```

---

Record 3
A plane-wave DFT calculation with PBE-GGA was carried out for a relaxed structure of BaLi2P2O7.

Summary:
Raw formation energy, eV per atom: -2.509
Polymorph energy (0 for the lowest one), kJ per mole of atoms: 4.1

Cell and atoms, written as CIF:
```
data_BaLi2P2O7
_symmetry_space_group_name_H-M 'R 3 2'
_symmetry_Int_Tables_number 155
_symmetry_space_group_name_Hall 'R 3 2"'
_cell_length_a 5.4223
_cell_length_b 5.4223
_cell_length_c 22.3514
_cell_angle_alpha 90.00
_cell_angle_beta 90.00
_cell_angle_gamma 120.00
loop_
_atom_site_label
_atom_site_type_symbol
_atom_site_fract_x
_atom_site_fract_y
_atom_site_fract_z
Ba1 Ba 0.0000 0.0000 0.0000
Li1 Li 0.0000 0.0000 0.2410
P1 P 0.0000 0.0000 0.4283
O1 O 0.0000 0.0000 0.5000
O2 O 0.0419 0.4221 0.0753
```

---

Record 4
A plane-wave DFT calculation with PBE-GGA was carried out for a relaxed structure of Ti3CuIr.

Summary:
Polymorph energy (0 for the lowest one), kJ per mole of atoms: 55.4
Formation enthalpy at 0 K, eV per formula unit: 3.28

Cell and atoms, written as CIF:
```
data_Ti3CuIr
_symmetry_space_group_name_H-M 'P m -3 m'
_symmetry_Int_Tables_number 221
_symmetry_space_group_name_Hall '-P 4 2 3'
_cell_length_a 4.471
_cell_length_b 4.471
_cell_length_c 4.471
_cell_angle_alpha 90.00
_cell_angle_beta 90.00
_cell_angle_gamma 90.00
loop_
_atom_site_label
_atom_site_type_symbol
_atom_site_fract_x
_atom_site_fract_y
_atom_site_fract_z
Ti1 Ti 0.000 0.000 0.500
Cu1 Cu 0.000 0.000 0.000
Ir1 Ir 0.500 0.500 0.500
```

---

Record 5
A plane-wave DFT calculation with PBE-GGA was carried out for a relaxed structure of Pr7SbBr12.

Summary:
Raw formation energy, eV per atom: -1.640

Cell and atoms, written as CIF:
```
data_Pr7SbBr12
_symmetry_space_group_name_H-M 'R -3'
_symmetry_Int_Tables_number 148
_symmetry_space_group_name_Hall '-R 3'
_cell_length_a 15.6819
_cell_length_b 15.6819
_cell_length_c 10.2440
_cell_angle_alpha 90.00
_cell_angle_beta 90.00
_cell_angle_gamma 120.00
loop_
_atom_site_label
_atom_site_type_symbol
_atom_site_fract_x
_atom_site_fract_y
_atom_site_fract_z
Pr1 Pr 0.0000 0.0000 0.0000
Pr2 Pr 0.0478 0.1735 0.3356
Sb1 Sb 0.0000 0.0000 0.5000
Br1 Br 0.0264 0.5873 0.1652
Br2 Br 0.0490 0.1797 0.8425
```

---

Record 6
A plane-wave DFT calculation with PBE-GGA was carried out for a relaxed structure of Li2TiTl2.

Summary:
Polymorph energy (0 for the lowest one), kJ per mole of atoms: 2.9
Formation enthalpy at 0 K, eV per formula unit: 0.33

Cell and atoms, written as CIF:
```
data_Li2TiTl2
_symmetry_space_group_name_H-M 'P 4/m b m'
_symmetry_Int_Tables_number 127
_symmetry_space_group_name_Hall '-P 4 2ab'
_cell_length_a 7.901
_cell_length_b 7.901
_cell_length_c 3.239
_cell_angle_alpha 90.00
_cell_angle_beta 90.00
_cell_angle_gamma 90.00
loop_
_atom_site_label
_atom_site_type_symbol
_atom_site_fract_x
_atom_site_fract_y
_atom_site_fract_z
Li1 Li 0.152 0.348 0.000
Ti1 Ti 0.000 0.000 0.500
Tl1 Tl 0.150 0.650 0.500
```

---

Record 7
A plane-wave DFT calculation with PBE-GGA was carried out for a relaxed structure of InAg3Sn.

Summary:
Polymorph energy (0 for the lowest one), kJ per mole of atoms: 29.1
Formation enthalpy at 0 K, eV per formula unit: 1.90

Cell and atoms, written as CIF:
```
data_InAg3Sn
_symmetry_space_group_name_H-M 'P m -3 m'
_symmetry_Int_Tables_number 221
_symmetry_space_group_name_Hall '-P 4 2 3'
_cell_length_a 5.267
_cell_length_b 5.267
_cell_length_c 5.267
_cell_angle_alpha 90.00
_cell_angle_beta 90.00
_cell_angle_gamma 90.00
loop_
_atom_site_label
_atom_site_type_symbol
_atom_site_fract_x
_atom_site_fract_y
_atom_site_fract_z
In1 In 0.000 0.000 0.000
Ag1 Ag 0.000 0.500 0.500
Sn1 Sn 0.500 0.500 0.500
```

---

Record 8
A plane-wave DFT calculation with PBE-GGA was carried out for a relaxed structure of Th3Pd4.

Summary:
Polymorph energy (0 for the lowest one), kJ per mole of atoms: 1.6
Formation enthalpy at 0 K, eV per formula unit: -5.69

Cell and atoms, written as CIF:
```
data_Th3Pd4
_symmetry_space_group_name_H-M 'R -3'
_symmetry_Int_Tables_number 148
_symmetry_space_group_name_Hall '-R 3'
_cell_length_a 13.7805
_cell_length_b 13.7805
_cell_length_c 5.8644
_cell_angle_alpha 90.00
_cell_angle_beta 90.00
_cell_angle_gamma 120.00
loop_
_atom_site_label
_atom_site_type_symbol
_atom_site_fract_x
_atom_site_fract_y
_atom_site_fract_z
Th1 Th 0.0410 0.8307 0.2377
Pd1 Pd 0.0000 0.0000 0.0000
Pd2 Pd 0.0000 0.0000 0.5000
Pd3 Pd 0.0554 0.6095 0.3827
```

---

Record 9
A plane-wave DFT calculation with PBE-GGA was carried out for a relaxed structure of K2NbPdS4.

Summary:
Raw formation energy, eV per atom: -0.976

Cell and atoms, written as CIF:
```
data_K2NbPdS4
_symmetry_space_group_name_H-M 'F d d d'
_symmetry_Int_Tables_number 70
_cell_length_a 5.767
_cell_length_b 13.612
_cell_length_c 22.010
_cell_angle_alpha 90.00
_cell_angle_beta 90.00
_cell_angle_gamma 90.00
loop_
_symmetry_equiv_pos_as_xyz
'x,y,z'
'-x,-y,-z'
'-x+1/4,-y+1/4,z'
'x+1/4,y+1/4,-z'
'x,-y+1/4,-z+1/4'
'-x,y+1/4,z+1/4'
'-x+1/4,y,-z+1/4'
'x+1/4,-y,z+1/4'
'x,y+1/2,z+1/2'
'-x,-y+1/2,-z+1/2'
'-x+1/4,-y+3/4,z+1/2'
'x+1/4,y+3/4,-z+1/2'
'x,-y+3/4,-z+3/4'
'-x,y+3/4,z+3/4'
'-x+1/4,y+1/2,-z+3/4'
'x+1/4,-y+1/2,z+3/4'
'x+1/2,y,z+1/2'
'-x+1/2,-y,-z+1/2'
'-x+3/4,-y+1/4,z+1/2'
'x+3/4,y+1/4,-z+1/2'
'x+1/2,-y+1/4,-z+3/4'
'-x+1/2,y+1/4,z+3/4'
'-x+3/4,y,-z+3/4'
'x+3/4,-y,z+3/4'
'x+1/2,y+1/2,z'
'-x+1/2,-y+1/2,-z'
'-x+3/4,-y+3/4,z'
'x+3/4,y+3/4,-z'
'x+1/2,-y+3/4,-z+1/4'
'-x+1/2,y+3/4,z+1/4'
'-x+3/4,y+1/2,-z+1/4'
'x+3/4,-y+1/2,z+1/4'
loop_
_atom_site_label
_atom_site_type_symbol
_atom_site_fract_x
_atom_site_fract_y
_atom_site_fract_z
K1 K 0.125 0.125 0.303
Nb1 Nb 0.125 0.125 0.625
Pd1 Pd 0.125 0.125 0.125
S1 S 0.111 0.271 0.818
```

---

Record 10
A plane-wave DFT calculation with PBE-GGA was carried out for a relaxed structure of YMn2Re.

Summary:
Polymorph energy (0 for the lowest one), kJ per mole of atoms: 41.4
Formation enthalpy at 0 K, eV per formula unit: 2.33

Cell and atoms, written as CIF:
```
data_YMn2Re
_symmetry_space_group_name_H-M 'R -3 m'
_symmetry_Int_Tables_number 166
_symmetry_space_group_name_Hall '-R 3 2"'
_cell_length_a 2.9584
_cell_length_b 2.9584
_cell_length_c 27.5933
_cell_angle_alpha 90.00
_cell_angle_beta 90.00
_cell_angle_gamma 120.00
loop_
_atom_site_label
_atom_site_type_symbol
_atom_site_fract_x
_atom_site_fract_y
_atom_site_fract_z
Y1 Y 0.0000 0.0000 0.0000
Mn1 Mn 0.0000 0.0000 0.2384
Re1 Re 0.0000 0.0000 0.5000
```

---

Record 11
A plane-wave DFT calculation with PBE-GGA was carried out for a relaxed structure of CuPRhS2.

Summary:
Raw formation energy, eV per atom: 0.737
Polymorph energy (0 for the lowest one), kJ per mole of atoms: 0.0

Cell and atoms, written as CIF:
```
data_CuPRhS2
_symmetry_space_group_name_H-M 'P 4/m m m'
_symmetry_Int_Tables_number 123
_symmetry_space_group_name_Hall '-P 4 2'
_cell_length_a 4.825
_cell_length_b 4.825
_cell_length_c 4.338
_cell_angle_alpha 90.00
_cell_angle_beta 90.00
_cell_angle_gamma 90.00
loop_
_atom_site_label
_atom_site_type_symbol
_atom_site_fract_x
_atom_site_fract_y
_atom_site_fract_z
Cu1 Cu 0.000 0.000 0.000
P1 P 0.500 0.500 0.000
Rh1 Rh 0.500 0.500 0.500
S1 S 0.000 0.500 0.500
```

---

Record 12
A plane-wave DFT calculation with PBE-GGA was carried out for a relaxed structure of GdErBeCo.

Summary:
Formation enthalpy at 0 K, eV per formula unit: -0.10

Cell and atoms, written as CIF:
```
data_GdErBeCo
_symmetry_space_group_name_H-M 'F -4 3 m'
_symmetry_Int_Tables_number 216
_symmetry_space_group_name_Hall 'F -4 2 3'
_cell_length_a 6.736
_cell_length_b 6.736
_cell_length_c 6.736
_cell_angle_alpha 90.00
_cell_angle_beta 90.00
_cell_angle_gamma 90.00
loop_
_atom_site_label
_atom_site_type_symbol
_atom_site_fract_x
_atom_site_fract_y
_atom_site_fract_z
Gd1 Gd 0.000 0.000 0.000
Er1 Er 0.000 0.000 0.500
Be1 Be 0.250 0.250 0.250
Co1 Co 0.250 0.250 0.750
```

---

DOS(E_F) for the records above, in order: 0.654, 2.207, 0.000, 1.802, 0.216, 0.481, 0.155, 0.743, 0.636, 1.264, 1.176, 0.646 states/eV/atom